This record from Alexandria describes a relaxed Pm4ErPd5 crystal. The functional is PBE-GGA.

size of the total moment	0.000	μB per atom
DFT formation energy	-0.795	eV/atom
E_tot	-5.748	eV per atom

Cell: 3.5335 3.5335 18.2674 Å, 90.00 90.00 90.00°
Last column: nearest neighbours and their distance in Å.
Atoms (fractional coordinates):
Pm1 0.0000 0.0000 0.1015  8 Pd 3.11
Pm2 0.0000 0.0000 0.3045  8 Pd 3.11-3.15
Pm3 0.0000 0.0000 0.6955  8 Pd 3.11-3.15
Pm4 0.0000 0.0000 0.8985  8 Pd 3.11
Er1 0.0000 0.0000 0.5000  8 Pd 3.00
Pd1 0.5000 0.5000 0.0000  8 Pm 3.11
Pd2 0.5000 0.5000 0.2029  8 Pm 3.11
Pd3 0.5000 0.5000 0.4092  4 Er 3.00, 4 Pm 3.15, 1 Pd 3.32
Pd4 0.5000 0.5000 0.5908  4 Er 3.00, 4 Pm 3.15, 1 Pd 3.32
Pd5 0.5000 0.5000 0.7971  8 Pm 3.11